YNbN2 | GGA-PBE | optimized geometry

Summary:
total energy	-9.67	eV per atom
uncorrected formation energy	-133	kJ/mol of atoms
crystal system	orthorhombic
density of states at the Fermi level	3.51	states/eV per cell

Structure (CIF):
```
data_YNbN2
_space_group_name_H-M_alt 'P 1'
_space_group_IT_number 1
_space_group_name_Hall 'P 1'
_cell_length_a 5.697
_cell_length_b 3.281
_cell_length_c 10.989
_cell_angle_alpha 90.00
_cell_angle_beta 90.00
_cell_angle_gamma 90.00
loop_
_atom_site_label
_atom_site_type_symbol
_atom_site_fract_x
_atom_site_fract_y
_atom_site_fract_z
_atom_site_occupancy
Y1 Y 0.089 0.250 0.138 1
Y2 Y 0.411 0.750 0.638 1
Y3 Y 0.589 0.250 0.362 1
Y4 Y 0.911 0.750 0.862 1
Nb1 Nb 0.086 0.750 0.391 1
Nb2 Nb 0.414 0.250 0.891 1
Nb3 Nb 0.586 0.750 0.109 1
Nb4 Nb 0.914 0.250 0.609 1
N1 N 0.158 0.250 0.755 1
N2 N 0.247 0.250 0.494 1
N3 N 0.253 0.750 0.994 1
N4 N 0.342 0.750 0.255 1
N5 N 0.658 0.250 0.745 1
N6 N 0.747 0.250 0.006 1
N7 N 0.753 0.750 0.506 1
N8 N 0.842 0.750 0.245 1
```